Here is a relaxed structure of Na3Cd3Ga2 from Alexandria via LeMat-Bulk. Energies are from PBE.

POSCAR file:
```
Na3Cd3Ga2
1.0
-2.507 -4.004 -0.380
5.540 -0.553 -1.176
2.859 -3.211 14.977
Na Cd Ga
6 6 4
Cartesian
0.235 -2.945 -0.076
4.439 -3.455 7.118
1.453 -4.313 6.303
5.656 -4.823 13.497
-0.309 -2.942 3.481
6.201 -4.826 9.940
3.083 -4.726 -0.092
1.912 -2.034 8.814
3.980 -5.734 4.607
2.809 -3.041 13.513
2.199 -4.437 2.682
3.692 -3.331 10.739
2.824 -5.428 9.009
2.558 -1.767 1.740
3.334 -6.001 11.681
3.068 -2.340 4.412
```

Calculated values
Density ... 4.743 g/cm3
VASP energy ... -1.657 eV/atom
Total moment ... 0.00 μB/atom
Energy above the most stable polymorph in this dataset ... 0.000 eV per atom
V ... 191.0 Å³/f.u.

***

Here is a relaxed structure of Na2Cd16Ga from Alexandria via LeMat-Bulk. Energies are from PBE.

POSCAR file:
```
Na2Cd16Ga
1.0
-5.351 2.265 5.117
-5.618 -4.874 -2.153
1.281 -5.472 5.326
Na Cd Ga
2 16 1
Cartesian
-6.424 -5.358 5.497
-3.172 -2.645 2.714
-8.951 -4.967 3.034
-6.175 -3.031 8.166
-4.263 -8.172 5.389
-8.870 -2.797 5.244
-4.159 -5.383 8.230
-6.360 -7.990 3.116
-6.326 -5.378 1.668
-6.183 -1.536 5.580
-2.614 -5.700 5.693
-3.718 -3.023 6.063
-3.829 -5.978 3.053
-6.574 -2.776 2.967
-6.984 -5.742 9.020
-7.100 -8.865 5.840
-10.001 -5.481 5.748
-0.931 -0.776 0.796
-8.786 -7.328 7.518
```

Calculated values
Density ... 7.020 g/cm3
VASP energy ... -1.093 eV/atom
Total moment ... 0.00 μB/atom
V ... 452.8 Å³/f.u.

***

Here is a relaxed structure of Na3Cd4Ga4 from Alexandria via LeMat-Bulk. Energies are from PBE.

POSCAR file:
```
Na3Cd4Ga4
1.0
-1.918 2.933 3.346
-6.576 -1.288 -2.640
3.499 -6.720 4.388
Na Cd Ga
3 4 4
Cartesian
-0.190 -1.499 1.205
-4.804 -3.577 3.889
-3.288 -0.644 -1.320
-3.616 -3.235 0.762
-1.378 -1.841 4.332
-6.212 0.437 -0.436
-2.282 1.207 1.142
0.725 -3.638 3.604
-3.286 -0.962 2.467
-5.720 -1.438 1.490
-1.708 -4.115 2.627
```

Calculated values
Density ... 4.991 g/cm3
VASP energy ... -1.858 eV/atom
Total moment ... 0.00 μB/atom
V ... 265.3 Å³/f.u.

***

Here is a relaxed structure of NaCd3Ga from Alexandria via LeMat-Bulk. Energies are from PBE.

POSCAR file:
```
NaCd3Ga
1.0
-4.803 2.103 -1.481
-0.109 -3.300 -4.334
-2.570 -3.792 2.951
Na Ga Cd
1 1 3
Cartesian
0.000 0.000 0.000
-3.741 -2.494 -1.432
-0.054 -1.650 -2.167
-1.285 -1.896 1.475
-2.402 1.051 -0.740
```

Calculated values
Density ... 4.414 g/cm3
VASP energy ... -0.878 eV/atom
Total moment ... 0.00 μB/atom
Energy above the most stable polymorph in this dataset ... 0.602 eV per atom
V ... 161.8 Å³/f.u.

***

Here is a relaxed structure of Na2CdGa2 from Alexandria via LeMat-Bulk. Energies are from PBE.

POSCAR file:
```
Na2CdGa2
1.0
3.772 0.000 0.000
0.000 3.772 0.000
1.886 1.886 9.220
Na Ga Cd
2 2 1
Cartesian
1.886 1.886 1.976
3.772 3.772 7.244
3.772 1.886 4.610
1.886 3.772 4.610
0.000 0.000 0.000
```

Calculated values
Density ... 3.769 g/cm3
VASP energy ... -1.910 eV/atom
Total moment ... 0.00 μB/atom
Energy above the most stable polymorph in this dataset ... 0.060 eV per atom
V ... 131.2 Å³/f.u.

***

Here is a relaxed structure of NaCd9Ga3 from Alexandria via LeMat-Bulk. Energies are from PBE.

POSCAR file:
```
NaCd9Ga3
1.0
-2.645 3.803 -3.630
-1.476 -3.263 -6.652
-7.699 -0.199 0.630
Na Cd Ga
1 9 3
Cartesian
0.000 0.000 0.000
-9.101 -0.008 -7.335
-2.719 0.350 -2.317
-7.685 1.051 -2.735
-4.134 -0.709 -6.917
-4.922 1.239 -4.453
-6.898 -0.897 -5.199
-3.670 -2.171 -4.115
-8.150 2.513 -5.537
-0.738 -1.631 -3.326
-2.061 0.270 -5.141
-3.849 -0.099 0.315
-5.172 1.802 -1.500
```

Calculated values
Density ... 6.947 g/cm3
VASP energy ... -1.428 eV/atom
Total moment ... 0.00 μB/atom
V ... 297.3 Å³/f.u.

***

Here is a relaxed structure of Na3Cd4Ga2 from Alexandria via LeMat-Bulk. Energies are from PBE.

POSCAR file:
```
Na3Cd4Ga2
1.0
6.581 0.000 0.000
-0.001 7.428 4.286
-0.001 0.007 8.576
Na Cd Ga
6 8 4
Cartesian
4.936 1.235 2.142
4.935 6.195 10.722
1.644 6.199 10.720
1.645 1.239 2.140
1.645 3.718 6.430
4.935 3.716 6.431
3.290 6.189 5.086
0.000 6.117 4.960
3.290 1.245 7.776
6.580 1.318 7.902
0.004 1.304 4.957
3.285 3.790 9.257
6.575 6.130 7.905
3.295 3.645 3.604
3.296 1.165 4.941
6.574 3.734 9.386
3.283 6.270 7.920
0.006 3.701 3.476
```

Calculated values
Density ... 5.216 g/cm3
VASP energy ... -1.621 eV/atom
Total moment ... 0.00 μB/atom
Energy above the most stable polymorph in this dataset ... 0.000 eV per atom
V ... 209.5 Å³/f.u.

***

Here is a relaxed structure of Na2CdGa2 from Alexandria via LeMat-Bulk. Energies are from PBE.

POSCAR file:
```
Na2CdGa2
1.0
-1.927 7.284 -4.122
-8.066 -0.488 2.909
0.847 1.716 2.636
Na Ga Cd
4 4 2
Cartesian
-7.664 2.226 1.014
-6.799 5.979 -1.707
-2.328 4.570 -2.227
-3.194 0.818 0.494
-5.224 1.712 2.577
-7.614 5.268 1.030
-3.922 6.800 -1.153
-1.532 3.244 0.393
0.000 0.000 0.000
-4.996 3.398 -0.606
```

Calculated values
Density ... 4.116 g/cm3
VASP energy ... -1.797 eV/atom
Total moment ... 0.00 μB/atom
Energy above the most stable polymorph in this dataset ... 0.172 eV per atom
V ... 120.1 Å³/f.u.